[1]
This record from the Alexandria database describes a relaxed ScMo4Cl crystal. The functional is PBE. Values from VASP.

Output
N(E_F) = 1.1252 states/eV per atom
calculated total energy = -7.97 eV/atom
space-group type = F-43m, No. 216
E_form (uncorrected) = 3.7 eV per formula unit

Cell and atoms, written as Quantum ESPRESSO input:
```
&SYSTEM
  ibrav = 0, nat = 6, ntyp = 3
/
ATOMIC_SPECIES
Sc 44.96 Sc.upf
Mo 95.94 Mo.upf
Cl 35.45 Cl.upf
CELL_PARAMETERS angstrom
0.000 3.789 3.789
3.789 0.000 3.789
3.789 3.789 0.000
ATOMIC_POSITIONS angstrom
Sc 0.000 0.000 0.000
Mo 2.850 2.850 2.850
Mo 4.727 4.727 2.850
Mo 4.727 2.850 4.727
Mo 2.850 4.727 4.727
Cl 5.683 5.683 5.683
```

---

[2]
This record from the Alexandria database describes a relaxed ScMoCl crystal. The functional is PBE. Values from VASP.

Output
ΔE to the lowest computed polymorph = 80 meV/atom
N(E_F) = 0.7054 states/eV per atom
calculated total energy = -6.45 eV/atom
space-group type = I4mm, No. 107
E_form (uncorrected) = -0.3 eV per formula unit

Cell and atoms, written as Quantum ESPRESSO input:
```
&SYSTEM
  ibrav = 0, nat = 3, ntyp = 3
/
ATOMIC_SPECIES
Sc 44.96 Sc.upf
Mo 95.94 Mo.upf
Cl 35.45 Cl.upf
CELL_PARAMETERS angstrom
-1.462 1.462 7.624
1.462 -1.462 7.624
1.462 1.462 -7.624
ATOMIC_POSITIONS angstrom
Sc 0.000 0.000 0.000
Mo 0.000 0.000 9.745
Cl 0.000 0.000 5.915
```

---

[3]
This record from the Alexandria database describes a relaxed ScMoCl crystal. The functional is PBE. Values from VASP.

Output
ΔE to the lowest computed polymorph = 71 meV/atom
N(E_F) = 0.4306 states/eV per atom
calculated total energy = -6.45 eV/atom
space-group type = Fmm2, No. 42
E_form (uncorrected) = -0.4 eV per formula unit

Cell and atoms, written as Quantum ESPRESSO input:
```
&SYSTEM
  ibrav = 0, nat = 3, ntyp = 3
/
ATOMIC_SPECIES
Sc 44.96 Sc.upf
Mo 95.94 Mo.upf
Cl 35.45 Cl.upf
CELL_PARAMETERS angstrom
0.000 2.215 7.846
1.907 0.000 7.846
1.907 2.215 0.000
ATOMIC_POSITIONS angstrom
Sc 0.000 0.000 0.000
Mo 1.907 2.215 5.709
Cl 1.907 2.215 9.584
```

---

[4]
This record from the Alexandria database describes a relaxed ScMoCl crystal. The functional is PBE. Values from VASP.

Output
ΔE to the lowest computed polymorph = 732 meV/atom
N(E_F) = 0.5246 states/eV per atom
calculated total energy = -5.79 eV/atom
space-group type = F-43m, No. 216
E_form (uncorrected) = 1.6 eV per formula unit

Cell and atoms, written as Quantum ESPRESSO input:
```
&SYSTEM
  ibrav = 0, nat = 3, ntyp = 3
/
ATOMIC_SPECIES
Sc 44.96 Sc.upf
Mo 95.94 Mo.upf
Cl 35.45 Cl.upf
CELL_PARAMETERS angstrom
0.000 3.021 3.021
3.021 0.000 3.021
3.021 3.021 0.000
ATOMIC_POSITIONS angstrom
Sc 0.000 0.000 0.000
Mo 3.021 3.021 3.021
Cl 1.511 1.511 1.511
```

---

[5]
This record from the Alexandria database describes a relaxed ScMoCl crystal. The functional is PBE. Values from VASP.

Output
ΔE to the lowest computed polymorph = 1222 meV/atom
N(E_F) = 1.1118 states/eV per atom
calculated total energy = -5.30 eV/atom
space-group type = F-43m, No. 216
E_form (uncorrected) = 3.1 eV per formula unit

Cell and atoms, written as Quantum ESPRESSO input:
```
&SYSTEM
  ibrav = 0, nat = 3, ntyp = 3
/
ATOMIC_SPECIES
Sc 44.96 Sc.upf
Mo 95.94 Mo.upf
Cl 35.45 Cl.upf
CELL_PARAMETERS angstrom
0.000 3.321 3.321
3.321 0.000 3.321
3.321 3.321 0.000
ATOMIC_POSITIONS angstrom
Sc 0.000 0.000 0.000
Mo 1.660 1.660 1.660
Cl 4.981 4.981 4.981
```

---

[6]
This record from the Alexandria database describes a relaxed ScMoCl4 crystal. The functional is PBE. Values from VASP.

Output
N(E_F) = 1.0271 states/eV per atom
calculated total energy = -3.48 eV/atom
space-group type = F-43m, No. 216
E_form (uncorrected) = 3.7 eV per formula unit

Cell and atoms, written as Quantum ESPRESSO input:
```
&SYSTEM
  ibrav = 0, nat = 6, ntyp = 3
/
ATOMIC_SPECIES
Sc 44.96 Sc.upf
Mo 95.94 Mo.upf
Cl 35.45 Cl.upf
CELL_PARAMETERS angstrom
0.000 4.113 4.113
4.113 0.000 4.113
4.113 4.113 0.000
ATOMIC_POSITIONS angstrom
Sc 0.000 0.000 0.000
Mo 2.056 2.056 2.056
Cl 5.141 3.084 3.084
Cl 3.084 5.141 3.084
Cl 3.084 3.084 5.141
Cl 5.141 5.141 5.141
```

---

[7]
This record from the Alexandria database describes a relaxed ScMo2Cl2 crystal. The functional is PBE. Values from VASP.

Output
N(E_F) = 1.0219 states/eV per atom
calculated total energy = -6.13 eV/atom
space-group type = I4/mmm, No. 139
E_form (uncorrected) = 1.0 eV per formula unit

Cell and atoms, written as Quantum ESPRESSO input:
```
&SYSTEM
  ibrav = 0, nat = 5, ntyp = 3
/
ATOMIC_SPECIES
Sc 44.96 Sc.upf
Mo 95.94 Mo.upf
Cl 35.45 Cl.upf
CELL_PARAMETERS angstrom
-2.103 2.103 5.626
2.103 -2.103 5.626
2.103 2.103 -5.626
ATOMIC_POSITIONS angstrom
Sc 0.000 0.000 0.000
Mo 0.000 0.000 4.515
Mo 0.000 0.000 6.737
Cl 2.103 0.000 2.813
Cl 0.000 2.103 2.813
```

---

[8]
This record from the Alexandria database describes a relaxed Sc2SiMoCl crystal. The functional is PBE. Values from VASP.

Output
N(E_F) = 1.5710 states/eV per atom
calculated total energy = -5.83 eV/atom
space-group type = P4/mmm, No. 123
E_form (uncorrected) = 1.6 eV per formula unit

Cell and atoms, written as Quantum ESPRESSO input:
```
&SYSTEM
  ibrav = 0, nat = 5, ntyp = 4
/
ATOMIC_SPECIES
Sc 44.96 Sc.upf
Si 28.09 Si.upf
Mo 95.94 Mo.upf
Cl 35.45 Cl.upf
CELL_PARAMETERS angstrom
5.153 0.000 0.000
0.000 5.153 0.000
0.000 0.000 4.580
ATOMIC_POSITIONS angstrom
Sc 0.000 2.577 0.000
Sc 2.577 0.000 0.000
Si 0.000 0.000 0.000
Mo 0.000 0.000 2.290
Cl 2.577 2.577 2.290
```

---

[9]
This record from the Alexandria database describes a relaxed ScTaMo2Cl crystal. The functional is PBE. Values from VASP.

Output
N(E_F) = 1.6364 states/eV per atom
calculated total energy = -6.10 eV/atom
space-group type = P4/mmm, No. 123
E_form (uncorrected) = 11.2 eV per formula unit

Cell and atoms, written as Quantum ESPRESSO input:
```
&SYSTEM
  ibrav = 0, nat = 5, ntyp = 4
/
ATOMIC_SPECIES
Sc 44.96 Sc.upf
Ta 180.95 Ta.upf
Mo 95.94 Mo.upf
Cl 35.45 Cl.upf
CELL_PARAMETERS angstrom
4.719 0.000 0.000
0.000 4.719 0.000
0.000 0.000 4.976
ATOMIC_POSITIONS angstrom
Sc 0.000 0.000 0.000
Ta 0.000 0.000 2.488
Mo 0.000 2.360 0.000
Mo 2.360 0.000 0.000
Cl 2.360 2.360 2.488
```

---

[10]
This record from the Alexandria database describes a relaxed ScTeMoCl2 crystal. The functional is PBE. Values from VASP.

Output
N(E_F) = 1.0434 states/eV per atom
calculated total energy = -4.00 eV/atom
space-group type = P4/mmm, No. 123
E_form (uncorrected) = 4.0 eV per formula unit

Cell and atoms, written as Quantum ESPRESSO input:
```
&SYSTEM
  ibrav = 0, nat = 5, ntyp = 4
/
ATOMIC_SPECIES
Sc 44.96 Sc.upf
Te 127.60 Te.upf
Mo 95.94 Mo.upf
Cl 35.45 Cl.upf
CELL_PARAMETERS angstrom
5.560 0.000 0.000
0.000 5.560 0.000
0.000 0.000 5.216
ATOMIC_POSITIONS angstrom
Sc 0.000 0.000 0.000
Te 2.780 2.780 2.608
Mo 2.780 2.780 0.000
Cl 0.000 2.780 2.608
Cl 2.780 0.000 2.608
```

---

[11]
This record from the Alexandria database describes a relaxed Y2ScMoCl crystal. The functional is PBE. Values from VASP.

Output
N(E_F) = 1.4909 states/eV per atom
calculated total energy = -5.42 eV/atom
space-group type = P4/mmm, No. 123
E_form (uncorrected) = 4.8 eV per formula unit

Cell and atoms, written as Quantum ESPRESSO input:
```
&SYSTEM
  ibrav = 0, nat = 5, ntyp = 4
/
ATOMIC_SPECIES
Y 88.91 Y.upf
Sc 44.96 Sc.upf
Mo 95.94 Mo.upf
Cl 35.45 Cl.upf
CELL_PARAMETERS angstrom
5.774 0.000 0.000
0.000 5.774 0.000
0.000 0.000 4.625
ATOMIC_POSITIONS angstrom
Y 0.000 2.887 0.000
Y 2.887 0.000 0.000
Sc 0.000 0.000 0.000
Mo 2.887 2.887 2.312
Cl 0.000 0.000 2.312
```

---

[12]
This record from the Alexandria database describes a relaxed MoSe2Cl crystal. The functional is PBE. Values from VASP.

Output
ΔE to the lowest computed polymorph = 607 meV/atom
N(E_F) = 0.8833 states/eV per atom
calculated total energy = -4.70 eV/atom
space-group type = Cmm2, No. 35
E_form (uncorrected) = 0.8 eV per formula unit

Cell and atoms, written as Quantum ESPRESSO input:
```
&SYSTEM
  ibrav = 0, nat = 4, ntyp = 3
/
ATOMIC_SPECIES
Mo 95.94 Mo.upf
Se 78.96 Se.upf
Cl 35.45 Cl.upf
CELL_PARAMETERS angstrom
1.592 -2.555 0.000
1.592 2.555 0.000
0.000 0.000 10.878
ATOMIC_POSITIONS angstrom
Mo 0.000 0.000 0.000
Se 0.000 0.000 5.617
Se 1.592 0.000 8.936
Cl 1.592 0.000 1.922
```

---

[13]
This record from the Alexandria database describes a relaxed MoSeCl3 crystal. The functional is PBE. Values from VASP.

Output
ΔE to the lowest computed polymorph = 111 meV/atom
calculated total energy = -4.60 eV/atom
space-group type = P2_1/c, No. 14
E_form (uncorrected) = -3.2 eV per formula unit

Cell and atoms, written as Quantum ESPRESSO input:
```
&SYSTEM
  ibrav = 0, nat = 20, ntyp = 3
/
ATOMIC_SPECIES
Mo 95.94 Mo.upf
Se 78.96 Se.upf
Cl 35.45 Cl.upf
CELL_PARAMETERS angstrom
8.315 0.000 0.000
0.000 6.206 0.000
-7.812 0.000 9.941
ATOMIC_POSITIONS angstrom
Mo -2.916 0.196 3.898
Mo -6.822 2.907 8.869
Mo 7.326 3.299 1.072
Mo 3.419 6.010 6.042
Se -5.048 3.884 9.868
Se -1.142 5.425 4.897
Se 1.645 0.781 5.043
Se 5.551 2.322 0.073
Cl 0.484 1.458 0.780
Cl -3.423 1.645 5.751
Cl -5.375 0.868 8.256
Cl -1.469 2.235 3.286
Cl 0.678 4.458 2.456
Cl -3.228 4.851 7.426
Cl 3.731 1.355 2.514
Cl -0.175 1.748 7.485
Cl 1.972 3.971 6.655
Cl 5.878 5.338 1.685
Cl 3.926 4.562 4.190
Cl 0.020 4.748 9.160
```

---

[14]
This record from the Alexandria database describes a relaxed MoSe2Cl crystal. The functional is PBE. Values from VASP.

Output
ΔE to the lowest computed polymorph = 406 meV/atom
N(E_F) = 0.6643 states/eV per atom
calculated total energy = -4.90 eV/atom
space-group type = I-42d, No. 122
E_form (uncorrected) = 0.0 eV per formula unit

Cell and atoms, written as Quantum ESPRESSO input:
```
&SYSTEM
  ibrav = 0, nat = 8, ntyp = 3
/
ATOMIC_SPECIES
Mo 95.94 Mo.upf
Se 78.96 Se.upf
Cl 35.45 Cl.upf
CELL_PARAMETERS angstrom
-3.361 3.361 5.041
3.361 -3.361 5.041
3.361 3.361 -5.041
ATOMIC_POSITIONS angstrom
Mo 0.000 0.000 0.000
Mo 0.000 3.361 2.520
Se 5.041 1.118 -1.260
Se 1.118 1.680 1.260
Se -1.680 2.243 3.780
Se 2.243 1.680 6.301
Cl 3.361 0.000 2.520
Cl 0.000 0.000 5.041
```